Computed, not measured: Ga2Sn2Hg after structural relaxation at the PBE level of DFT.

Properties
The calculated formation energy comes out at 0.450 eV/f.u. The calculation puts the energy above the most stable polymorph in this dataset at 16 meV/atom.

Structure (CIF):
```
data_Ga2Sn2Hg
_chemical_formula_sum 'Ga4 Sn4 Hg2'
_cell_length_a 4.820
_cell_length_b 4.820
_cell_length_c 11.594
_cell_angle_alpha 90.00
_cell_angle_beta 90.00
_cell_angle_gamma 90.00
_symmetry_space_group_name_H-M 'I 4/m m m'
_symmetry_Int_Tables_number 139
_symmetry_space_group_name_Hall '-I 4 2'
loop_
_atom_site_label
_atom_site_fract_x
_atom_site_fract_y
_atom_site_fract_z
_atom_site_occupancy
Ga1 0.000 0.500 0.250 1
Sn1 0.000 0.000 0.123 1
Hg1 0.000 0.000 0.500 1
```